Entry 1:
EuHo2Cd | the Alexandria database | PBE | relaxed; polymorph energy (0 for the lowest one) = 4.1 kJ per mole of atoms
1.0
4.9339 0.0000 0.0000
0.0000 4.9339 0.0000
0.0000 0.0000 4.8561
Eu Ho Cd
1 2 1
Cartesian
0.0000 0.0000 0.0000 Eu
0.0000 2.4670 2.4280 Ho
2.4670 0.0000 2.4280 Ho
2.4670 2.4670 0.0000 Cd

Entry 2:
EuHoCdIn | PBE | relaxed

The structure in POSCAR format:
```
EuHoCdIn
1.0
0.0000 3.8337 3.8337
3.8337 0.0000 3.8337
3.8337 3.8337 0.0000
Eu Ho Cd In
1 1 1 1
Cartesian
0.0000 0.0000 0.0000 Eu
3.8337 3.8337 3.8337 Ho
1.9168 1.9168 1.9168 Cd
5.7505 5.7505 5.7505 In
```

Entry 3:
EuHoMgCd | PBE | relaxed

The structure in POSCAR format:
```
EuHoMgCd
1.0
0.0000 3.8449 3.8449
3.8449 0.0000 3.8449
3.8449 3.8449 0.0000
Eu Ho Mg Cd
1 1 1 1
Cartesian
0.0000 0.0000 0.0000 Eu
3.8449 3.8449 3.8449 Ho
1.9225 1.9225 1.9225 Mg
5.7674 5.7674 5.7674 Cd
```

Entry 4:
NdEuHoCd | PBE | relaxed

The structure in POSCAR format:
```
NdEuHoCd
1.0
0.0000 3.9672 3.9672
3.9672 0.0000 3.9672
3.9672 3.9672 0.0000
Nd Eu Ho Cd
1 1 1 1
Cartesian
0.0000 0.0000 0.0000 Nd
3.9672 3.9672 3.9672 Eu
5.9508 5.9508 5.9508 Ho
1.9836 1.9836 1.9836 Cd
```

Entry 5:
EuHoCdNi | PBE | relaxed

The structure in POSCAR format:
```
EuHoCdNi
1.0
0.0000 3.6315 3.6315
3.6315 0.0000 3.6315
3.6315 3.6315 0.0000
Eu Ho Cd Ni
1 1 1 1
Cartesian
0.0000 0.0000 0.0000 Eu
3.6315 3.6315 3.6315 Ho
5.4472 5.4472 5.4472 Cd
1.8157 1.8157 1.8157 Ni
```

Entry 6:
EuHoCdPb | PBE | relaxed

The structure in POSCAR format:
```
EuHoCdPb
1.0
0.0000 3.8586 3.8586
3.8586 0.0000 3.8586
3.8586 3.8586 0.0000
Eu Ho Cd Pb
1 1 1 1
Cartesian
0.0000 0.0000 0.0000 Eu
3.8586 3.8586 3.8586 Ho
5.7878 5.7878 5.7878 Cd
1.9293 1.9293 1.9293 Pb
```

Entry 7:
EuHoCdPd | PBE | relaxed

The structure in POSCAR format:
```
EuHoCdPd
1.0
0.0000 3.6787 3.6787
3.6787 0.0000 3.6787
3.6787 3.6787 0.0000
Eu Ho Cd Pd
1 1 1 1
Cartesian
0.0000 0.0000 0.0000 Eu
3.6787 3.6787 3.6787 Ho
5.5181 5.5181 5.5181 Cd
1.8394 1.8394 1.8394 Pd
```

Entry 8:
PmEuHoCd | PBE | relaxed

The structure in POSCAR format:
```
PmEuHoCd
1.0
0.0000 3.9498 3.9498
3.9498 0.0000 3.9498
3.9498 3.9498 0.0000
Pm Eu Ho Cd
1 1 1 1
Cartesian
0.0000 0.0000 0.0000 Pm
5.9247 5.9247 5.9247 Eu
1.9749 1.9749 1.9749 Ho
3.9498 3.9498 3.9498 Cd
```

The records above yield density of states at the Fermi level values of 1.188; 2.031; 1.761; 0.818; 2.149; 0.729; 2.213; 1.418 states/eV per atom, respectively.
The records above yield E_form values of -34; -387; -169; -10; -154; -403; -467; 36 meV per atom, respectively.